Entry 1:
Entry from the Alexandria database: a geometry-optimized FeCoIr2 structure (GGA-PBE).

Structure (CIF):
```
data_FeCoIr2
_chemical_formula_sum 'Fe2 Co2 Ir4'
_symmetry_space_group_name_H-M 'C 1 2/m 1'
_symmetry_Int_Tables_number 12
_symmetry_space_group_name_Hall '-C 2y'
_cell_length_a 8.650
_cell_length_b 2.689
_cell_length_c 4.626
_cell_angle_alpha 90.00
_cell_angle_beta 100.46
_cell_angle_gamma 90.00
loop_
_atom_site_label
_atom_site_type_symbol
_atom_site_fract_x
_atom_site_fract_y
_atom_site_fract_z
_atom_site_occupancy
Fe1 Fe 0.000 0.000 0.000 1
Co1 Co 0.000 0.500 0.500 1
Ir1 Ir 0.249 0.000 0.747 1
```

N(E_F) in states/eV/cell: 10.806
DFT total energy in eV per cell: -66.59



Entry 2:
Entry from the Alexandria database: a geometry-optimized CsSrTe2 structure (GGA-PBE).

Structure (CIF):
```
data_CsSrTe2
_chemical_formula_sum 'Cs4 Sr4 Te8'
_symmetry_space_group_name_H-M 'I 41/a m d'
_symmetry_Int_Tables_number 141
_cell_length_a 7.033
_cell_length_b 7.033
_cell_length_c 20.423
_cell_angle_alpha 90.00
_cell_angle_beta 90.00
_cell_angle_gamma 90.00
loop_
_symmetry_equiv_pos_as_xyz
'x,y,z'
'-x,-y,-z'
'-y+1/4,x+3/4,z+1/4'
'y+1/4,-x+3/4,-z+1/4'
'-x+1/2,-y,z+1/2'
'x+1/2,y,-z+1/2'
'y+1/4,-x+1/4,z+3/4'
'-y+1/4,x+1/4,-z+3/4'
'x,-y,-z'
'-x,y,z'
'-y+1/4,-x+1/4,-z+3/4'
'y+1/4,x+1/4,z+3/4'
'-x+1/2,y,-z+1/2'
'x+1/2,-y,z+1/2'
'y+1/4,x+3/4,-z+1/4'
'-y+1/4,-x+3/4,z+1/4'
'x+1/2,y+1/2,z+1/2'
'-x+1/2,-y+1/2,-z+1/2'
'-y+3/4,x+1/4,z+3/4'
'y+3/4,-x+1/4,-z+3/4'
'-x,-y+1/2,z'
'x,y+1/2,-z'
'y+3/4,-x+3/4,z+1/4'
'-y+3/4,x+3/4,-z+1/4'
'x+1/2,-y+1/2,-z+1/2'
'-x+1/2,y+1/2,z+1/2'
'-y+3/4,-x+3/4,-z+1/4'
'y+3/4,x+3/4,z+1/4'
'-x,y+1/2,-z'
'x,-y+1/2,z'
'y+3/4,x+1/4,-z+3/4'
'-y+3/4,-x+1/4,z+3/4'
loop_
_atom_site_label
_atom_site_type_symbol
_atom_site_fract_x
_atom_site_fract_y
_atom_site_fract_z
_atom_site_occupancy
Cs1 Cs 0.000 0.250 0.375 1
Sr1 Sr 0.000 0.250 0.875 1
Te1 Te 0.000 0.000 0.000 1
```

N(E_F) in states/eV/cell: 2.374
Uncorrected formation energy in eV per atom: -0.9335



Entry 3:
Entry from the Alexandria database: a geometry-optimized RbVW3 structure (GGA-PBE).

Structure (CIF):
```
data_RbVW3
_chemical_formula_sum 'Rb1 V1 W3'
_symmetry_space_group_name_H-M 'P m -3 m'
_symmetry_Int_Tables_number 221
_symmetry_space_group_name_Hall '-P 4 2 3'
_cell_length_a 4.763
_cell_length_b 4.763
_cell_length_c 4.763
_cell_angle_alpha 90.00
_cell_angle_beta 90.00
_cell_angle_gamma 90.00
loop_
_atom_site_label
_atom_site_type_symbol
_atom_site_fract_x
_atom_site_fract_y
_atom_site_fract_z
_atom_site_occupancy
Rb1 Rb 0.000 0.000 0.000 1
V1 V 0.500 0.500 0.500 1
W1 W 0.000 0.500 0.500 1
```

N(E_F) in states/eV/cell: 5.844
E above lowest polymorph in kJ per mole of atoms: 0.0



Entry 4:
Entry from the Alexandria database: a geometry-optimized CaZnSe2N structure (GGA-PBE).

Structure (CIF):
```
data_CaZnSe2N
_chemical_formula_sum 'Ca1 Zn1 Se2 N1'
_symmetry_space_group_name_H-M 'P 4/m m m'
_symmetry_Int_Tables_number 123
_symmetry_space_group_name_Hall '-P 4 2'
_cell_length_a 5.202
_cell_length_b 5.202
_cell_length_c 3.869
_cell_angle_alpha 90.00
_cell_angle_beta 90.00
_cell_angle_gamma 90.00
loop_
_atom_site_label
_atom_site_type_symbol
_atom_site_fract_x
_atom_site_fract_y
_atom_site_fract_z
_atom_site_occupancy
Ca1 Ca 0.000 0.000 0.000 1
Zn1 Zn 0.500 0.500 0.500 1
Se1 Se 0.000 0.500 0.500 1
N1 N 0.500 0.500 0.000 1
```

N(E_F) in states/eV/cell: 3.021
E above lowest polymorph in kJ per mole of atoms: 0.0
Uncorrected formation energy in eV per atom: -0.0453